# PBE-GGA Mn2CrTcC, relaxed
# * formation energy: 0.26 eV per formula unit
# * M_tot: 0.582 μB per formula unit
# * volume: 54.7 Å³ per cell
data_Mn2CrTcC
_symmetry_space_group_name_H-M 'P 4/m m m'
_symmetry_Int_Tables_number 123
_symmetry_space_group_name_Hall '-P 4 2'
_cell_length_a 3.769
_cell_length_b 3.769
_cell_length_c 3.850
_cell_angle_alpha 90.00
_cell_angle_beta 90.00
_cell_angle_gamma 90.00
loop_
_atom_site_label
_atom_site_type_symbol
_atom_site_fract_x
_atom_site_fract_y
_atom_site_fract_z
Mn1 Mn 0.000 0.500 0.000
Cr1 Cr 0.000 0.000 0.500
Tc1 Tc 0.500 0.500 0.500
C1 C 0.000 0.000 0.000